## 1
Computed, not measured: a geometry-optimized Nd2GdTl structure at the PBE level of DFT.

The calculation puts the magnetization at 1.903 μB per atom.

It has space group P4/mmm (No. 123), with a = 5.6466 Å, b = 5.6466 Å, c = 3.9008 Å, α = 90.00°, β = 90.00° and γ = 90.00°. The asymmetric unit holds Nd at (0.0000, 0.5000, 0.0000), Gd at (0.0000, 0.0000, 0.5000) and Tl at (0.5000, 0.5000, 0.5000).

=====

## 2
Computed, not measured: a geometry-optimized Nd2GdTl structure at the PBE level of DFT.

The calculation puts the magnetization at 1.887 μB per atom.

It has space group P4/mmm (No. 123), with a = 3.7208 Å, b = 3.7208 Å, c = 9.2880 Å, α = 90.00°, β = 90.00° and γ = 90.00°. The asymmetric unit holds Nd at (0.0000, 0.0000, 0.2292), Gd at (0.5000, 0.5000, 0.5000) and Tl at (0.5000, 0.5000, 0.0000).

=====

## 3
Computed, not measured: a geometry-optimized Nd2GdTl structure at the PBE level of DFT.

The calculation puts the magnetization at 2.107 μB per atom.

It has space group Fm-3m (No. 225), with a = 7.9034 Å, b = 7.9034 Å, c = 7.9034 Å, α = 90.00°, β = 90.00° and γ = 90.00°. The asymmetric unit holds Nd at (0.2500, 0.2500, 0.2500), Gd at (0.0000, 0.0000, 0.0000) and Tl at (0.0000, 0.0000, 0.5000).

=====

Verdict on stability: 2 comes out on top.

=====

## 1
Computed, not measured: a geometry-optimized NdGdTm2 structure at the PBE level of DFT.

The calculation puts the magnetization at 1.871 μB per atom.

It has space group Fm-3m (No. 225), with a = 8.0184 Å, b = 8.0184 Å, c = 8.0184 Å, α = 90.00°, β = 90.00° and γ = 90.00°. The asymmetric unit holds Nd at (0.0000, 0.0000, 0.0000), Gd at (0.0000, 0.0000, 0.5000) and Tm at (0.2500, 0.2500, 0.2500).

=====

## 2
Computed, not measured: a geometry-optimized NdGdTm2 structure at the PBE level of DFT.

The calculation puts the magnetization at 1.823 μB per atom.

It has space group P4/mmm (No. 123), with a = 5.0561 Å, b = 5.0561 Å, c = 4.9773 Å, α = 90.00°, β = 90.00° and γ = 90.00°. The asymmetric unit holds Nd at (0.0000, 0.0000, 0.0000), Gd at (0.5000, 0.5000, 0.0000) and Tm at (0.0000, 0.5000, 0.5000).

=====

Verdict on stability: 2 comes out on top.

=====

## 1
Computed, not measured: a geometry-optimized NdGd2Y structure at the PBE level of DFT.

The calculation puts the magnetization at 3.616 μB per atom.

It has space group P4/mmm (No. 123), with a = 3.6089 Å, b = 3.6089 Å, c = 10.1849 Å, α = 90.00°, β = 90.00° and γ = 90.00°. The asymmetric unit holds Nd at (0.0000, 0.0000, 0.0000), Gd at (0.5000, 0.5000, 0.2522) and Y at (0.0000, 0.0000, 0.5000).

=====

## 2
Computed, not measured: a geometry-optimized NdGd2Y structure at the PBE level of DFT.

The calculation puts the magnetization at 4.080 μB per atom.

It has space group Fm-3m (No. 225), with a = 8.1018 Å, b = 8.1018 Å, c = 8.1018 Å, α = 90.00°, β = 90.00° and γ = 90.00°. The asymmetric unit holds Nd at (0.0000, 0.0000, 0.0000), Gd at (0.2500, 0.2500, 0.2500) and Y at (0.0000, 0.0000, 0.5000).

=====

Verdict on stability: 1 comes out on top.

=====

## 1
Computed, not measured: a geometry-optimized NdGdY2 structure at the PBE level of DFT.

The calculation puts the magnetization at 1.959 μB per atom.

It has space group Fm-3m (No. 225), with a = 8.1169 Å, b = 8.1169 Å, c = 8.1169 Å, α = 90.00°, β = 90.00° and γ = 90.00°. The asymmetric unit holds Nd at (0.0000, 0.0000, 0.0000), Gd at (0.0000, 0.0000, 0.5000) and Y at (0.2500, 0.2500, 0.2500).

=====

## 2
Computed, not measured: a geometry-optimized NdGdY2 structure at the PBE level of DFT.

The calculation puts the magnetization at 1.820 μB per atom.

It has space group P4/mmm (No. 123), with a = 3.6128 Å, b = 3.6128 Å, c = 10.1579 Å, α = 90.00°, β = 90.00° and γ = 90.00°. The asymmetric unit holds Nd at (0.0000, 0.0000, 0.0000), Gd at (0.0000, 0.0000, 0.5000) and Y at (0.5000, 0.5000, 0.2523).

=====

## 3
Computed, not measured: a geometry-optimized NdGdY2 structure at the PBE level of DFT.

The calculation puts the magnetization at 1.802 μB per atom.

It has space group P4/mmm (No. 123), with a = 5.1055 Å, b = 5.1055 Å, c = 5.0726 Å, α = 90.00°, β = 90.00° and γ = 90.00°. The asymmetric unit holds Nd at (0.0000, 0.0000, 0.0000), Gd at (0.5000, 0.5000, 0.0000) and Y at (0.0000, 0.5000, 0.5000).

=====

Verdict on stability: 3 comes out on top.

=====

## 1
Computed, not measured: a geometry-optimized Nd2GdZn structure at the PBE level of DFT.

The calculation puts the magnetization at 1.772 μB per atom.

It has space group P4/mmm (No. 123), with a = 5.5199 Å, b = 5.5199 Å, c = 3.7915 Å, α = 90.00°, β = 90.00° and γ = 90.00°. The asymmetric unit holds Nd at (0.0000, 0.5000, 0.0000), Gd at (0.0000, 0.0000, 0.5000) and Zn at (0.5000, 0.5000, 0.5000).

=====

## 2
Computed, not measured: a geometry-optimized Nd2GdZn structure at the PBE level of DFT.

The calculation puts the magnetization at 1.945 μB per atom.

It has space group Fm-3m (No. 225), with a = 7.7155 Å, b = 7.7155 Å, c = 7.7155 Å, α = 90.00°, β = 90.00° and γ = 90.00°. The asymmetric unit holds Nd at (0.2500, 0.2500, 0.2500), Gd at (0.0000, 0.0000, 0.0000) and Zn at (0.0000, 0.0000, 0.5000).

=====

## 3
Computed, not measured: a geometry-optimized Nd2GdZn structure at the PBE level of DFT.

The calculation puts the magnetization at 1.867 μB per atom.

It has space group P4/mmm (No. 123), with a = 3.6795 Å, b = 3.6795 Å, c = 8.7436 Å, α = 90.00°, β = 90.00° and γ = 90.00°. The asymmetric unit holds Nd at (0.0000, 0.0000, 0.2094), Gd at (0.5000, 0.5000, 0.5000) and Zn at (0.5000, 0.5000, 0.0000).

=====

Verdict on stability: 3 comes out on top.

=====

## 1
Computed, not measured: a geometry-optimized NdGd2Zr structure at the PBE level of DFT.

The calculation puts the magnetization at 3.535 μB per atom.

It has space group P4/mmm (No. 123), with a = 4.9148 Å, b = 4.9148 Å, c = 4.9516 Å, α = 90.00°, β = 90.00° and γ = 90.00°. The asymmetric unit holds Nd at (0.0000, 0.0000, 0.0000), Gd at (0.0000, 0.5000, 0.5000) and Zr at (0.5000, 0.5000, 0.0000).

=====

## 2
Computed, not measured: a geometry-optimized NdGd2Zr structure at the PBE level of DFT.

The calculation puts the magnetization at 3.580 μB per atom.

It has space group P4/mmm (No. 123), with a = 3.4515 Å, b = 3.4515 Å, c = 10.1311 Å, α = 90.00°, β = 90.00° and γ = 90.00°. The asymmetric unit holds Nd at (0.0000, 0.0000, 0.0000), Gd at (0.5000, 0.5000, 0.2735) and Zr at (0.0000, 0.0000, 0.5000).

=====

Verdict on stability: 2 comes out on top.